! PBE Cr2Ni7Rh3, relaxed; values from VASP
&SYSTEM
  ibrav = 0, nat = 12, ntyp = 3
/
ATOMIC_SPECIES
Rh 102.91 Rh.upf
Cr 52.00 Cr.upf
Ni 58.69 Ni.upf
CELL_PARAMETERS angstrom
-1.226 -1.119 -2.023
-1.175 -3.058 2.405
-11.886 4.798 6.272
ATOMIC_POSITIONS angstrom
Rh -8.817 1.790 2.688
Rh -1.201 -2.089 0.191
Rh -5.471 -1.170 3.966
Cr -9.532 1.268 5.103
Cr -4.756 -0.648 1.550
Ni -7.615 0.110 4.574
Ni -2.889 0.101 0.003
Ni -11.770 1.708 4.526
Ni -11.399 0.519 6.650
Ni -2.518 -1.088 2.127
Ni -6.673 0.510 2.080
Ni 0.000 0.000 0.000
! Space-group type ... P-1
! Formation energy ... 128 meV/atom
! Total magnetization ... 1.786 μB per formula unit